Entry 1:
The following is a DFT calculation (PBE-GGA) of RbReN2 after structural relaxation.

Lattice parameters (Å, degrees): 5.8473 5.8473 5.8473 90.00 90.00 90.00
Last column: nearest neighbours and their distance in Å.
Space group Fm-3m (No. 225)
Inequivalent atoms, fractional coordinates:
Rb (0.0000, 0.0000, 0.0000)  8 N 2.53
Re (0.0000, 0.0000, 0.5000)  8 N 2.53
N (0.2500, 0.2500, 0.2500)  4 Re 2.53, 4 Rb 2.53

## Properties
Relative energy among the computed polymorphs   9.77 eV/f.u.
Uncorrected formation energy   8.98 eV/f.u.
Total magnetic moment   0.000 μB/atom
Mass density   9.957 Mg/m³

---

Entry 2:
The following is a DFT calculation (PBE-GGA) of Li2TlI after structural relaxation.

Lattice parameters (Å, degrees): 7.4978 7.4978 7.4978 90.00 90.00 90.00
Last column: nearest neighbours and their distance in Å.
Space group Fm-3m (No. 225)
Inequivalent atoms, fractional coordinates:
Li (0.2500, 0.2500, 0.2500)  4 Tl 3.25, 4 I 3.25
Tl (0.0000, 0.0000, 0.0000)  8 Li 3.25
I (0.0000, 0.0000, 0.5000)  8 Li 3.25

## Properties
Relative energy among the computed polymorphs   0.94 eV/f.u.
Uncorrected formation energy   -1.00 eV/f.u.
Total magnetic moment   0.000 μB/atom
Mass density   5.439 Mg/m³

---

Which formula does entry 2 have?
Li2TlI